CoF6 PBE with a Hubbard U relaxed; SG = Pnma (62); total DFT energy (no corrections) = -3.350 eV/atom; Fermi-level density of states = 0.62 states/eV per cell; size of the total moment = 0.43 μB/atom
1.0
9.471 0.000 0.000
0.000 8.534 0.000
0.000 0.000 4.963
Co F
4 24
direct
0.131 0.250 0.095
0.369 0.750 0.595
0.631 0.250 0.405
0.869 0.750 0.905
0.015 0.250 0.820
0.029 0.105 0.252
0.029 0.395 0.252
0.233 0.105 0.940
0.233 0.395 0.940
0.246 0.250 0.371
0.254 0.750 0.871
0.267 0.605 0.440
0.267 0.895 0.440
0.471 0.605 0.752
0.471 0.895 0.752
0.485 0.750 0.320
0.515 0.250 0.680
0.529 0.105 0.248
0.529 0.395 0.248
0.733 0.105 0.560
0.733 0.395 0.560
0.746 0.250 0.129
0.754 0.750 0.629
0.767 0.605 0.060
0.767 0.895 0.060
0.971 0.605 0.748
0.971 0.895 0.748
0.985 0.750 0.180